Entry 1:
First-principles (GGA-PBE) data for KPa2RhO8 after structural relaxation, as listed in Alexandria.

Cell lengths 5.370, 5.370, 7.570 Å; angles 90.00, 90.00, 120.00 degrees
Fractional coordinates of all 12 atoms:
K1 0.000 0.000 0.000
Pa1 0.333 0.667 0.377
Pa2 0.667 0.333 0.623
Rh1 0.000 0.000 0.500
O1 0.178 0.356 0.635
O2 0.178 0.822 0.635
O3 0.333 0.667 0.131
O4 0.356 0.178 0.365
O5 0.644 0.822 0.635
O6 0.667 0.333 0.869
O7 0.822 0.178 0.365
O8 0.822 0.644 0.365

Values from the calculation:
SG: P-3m1, No. 164
Formation energy (no corrections): -2524 kJ/mol of formula units
Raw total energy: -7.772 eV/atom


Entry 2:
First-principles (GGA-PBE) data for K4PaRh3O8 after structural relaxation, as listed in Alexandria.

Cell lengths 6.874, 6.874, 7.106 Å; angles 116.81, 116.81, 55.43 degrees
Fractional coordinates of all 16 atoms:
K1 0.000 0.000 0.000
K2 0.000 0.500 0.000
K3 0.500 0.000 0.000
K4 0.500 0.500 0.000
Pa1 0.000 0.000 0.500
Rh1 0.000 0.500 0.500
Rh2 0.500 0.000 0.500
Rh3 0.500 0.500 0.500
O1 0.219 0.219 0.670
O2 0.245 0.738 0.289
O3 0.262 0.755 0.711
O4 0.297 0.297 0.360
O5 0.703 0.703 0.640
O6 0.738 0.245 0.289
O7 0.755 0.262 0.711
O8 0.781 0.781 0.330

Values from the calculation:
SG: C2/m, No. 12
Formation energy (no corrections): -2299 kJ/mol of formula units
Raw total energy: -6.215 eV/atom


Entry 3:
First-principles (GGA-PBE) data for KPaRhO6 after structural relaxation, as listed in Alexandria.

Cell lengths 5.556, 5.556, 5.933 Å; angles 90.00, 90.00, 120.00 degrees
Fractional coordinates of all 9 atoms:
K1 0.000 0.000 0.000
Pa1 0.333 0.667 0.500
Rh1 0.667 0.333 0.500
O1 0.388 0.023 0.684
O2 0.388 0.365 0.316
O3 0.635 0.023 0.316
O4 0.635 0.612 0.684
O5 0.977 0.365 0.684
O6 0.977 0.612 0.316

Values from the calculation:
SG: P312, No. 149
Formation energy (no corrections): -1594 kJ/mol of formula units
Raw total energy: -7.135 eV/atom


Entry 4:
First-principles (GGA-PBE) data for K2PaRhO6 after structural relaxation, as listed in Alexandria.

Cell lengths 5.880, 5.880, 5.880 Å; angles 60.00, 60.00, 60.00 degrees
Fractional coordinates of all 10 atoms:
K1 0.250 0.250 0.250
K2 0.750 0.750 0.750
Pa1 0.000 0.000 0.000
Rh1 0.500 0.500 0.500
O1 0.260 0.260 0.740
O2 0.260 0.740 0.260
O3 0.260 0.740 0.740
O4 0.740 0.260 0.260
O5 0.740 0.260 0.740
O6 0.740 0.740 0.260

Values from the calculation:
SG: Fm-3m, No. 225
Formation energy (no corrections): -1945 kJ/mol of formula units
Raw total energy: -6.895 eV/atom